NiH12SO9 | meta-GGA SCAN | PBEsol geometry

The calculation puts the total energy at -6.49 eV/atom. The calculation puts the calculated volume at 8.41 Å³ per atom.

It has space group R3 (No. 146, hexagonal axes), with a = 8.5827 Å, b = 8.5827 Å, c = 9.0955 Å, α = 90.00°, β = 90.00° and γ = 120.00°. The distinct sites, in fractional coordinates, are Ni at (0.0000, 0.0000, 0.0000), H at (0.0355, 0.4701, 0.8354), H at (0.0802, 0.7333, 0.5556), H at (0.1527, 0.3690, 0.8280), H at (0.1764, 0.6912, 0.4227), S at (0.0000, 0.0000, 0.5084), O at (0.0092, 0.8116, 0.8620), O at (0.1332, 0.4639, 0.7813) and O at (0.1830, 0.1316, 0.5809).